Density functional theory data (PBE+U) for a relaxed CrSn3O crystal.

Energy above the most stable polymorph in this dataset ... 0.00 kcal/mol of atoms
Electronic total energy ... -4.97 eV per atom

Cell lengths 4.811, 4.811, 4.811 Å; angles 90.00, 90.00, 90.00 degrees
Sites, in units of the cell vectors:
1 Cr 0.000 0.000 0.000
2 Sn 0.000 0.500 0.500
3 Sn 0.500 0.000 0.500
4 Sn 0.500 0.500 0.000
5 O 0.500 0.500 0.500